Material: TcTeP2
Method: DFT, GGA-PBEsol
State: relaxed

a = 3.925 Å, b = 4.288 Å, c = 4.484 Å
α = 90.00°, β = 106.93°, γ = 90.00°
Space group Pm (No. 6)
Symmetry-distinct sites (fractional):
Tc: 0.000 0.000 0.000 [1 per cell]
Te: 0.768 0.500 0.254 [1 per cell]
P: 0.158 0.500 0.823 [1 per cell]
P: 0.417 0.000 0.684 [1 per cell]

calculated total energy: -6.453 eV/atom
formation energy without anion corrections: 0.14 eV per atom